No. 1
# KAlS2 (GGA-PBE, optimized geometry)
data_KAlS2
_chemical_formula_sum 'K4 Al4 S8'
_cell_length_a 6.873
_cell_length_b 6.873
_cell_length_c 8.730
_cell_angle_alpha 90.00
_cell_angle_beta 90.00
_cell_angle_gamma 90.00
_symmetry_space_group_name_H-M 'I -4 2 d'
_symmetry_Int_Tables_number 122
_symmetry_space_group_name_Hall 'I -4 2bw'
loop_
_atom_site_label
_atom_site_fract_x
_atom_site_fract_y
_atom_site_fract_z
K1 0.000 0.000 0.000
Al1 0.000 0.000 0.500
S1 0.148 0.250 0.625
# DOS(E_F)	0.000	states/eV/atom
# formation energy (no corrections)	-1.2680	eV per atom
# size of the total moment	0.0	μB/f.u.

=====

No. 2
# Ac2TmTl5 (GGA-PBE, optimized geometry)
data_Ac2TmTl5
_chemical_formula_sum 'Ac4 Tm2 Tl10'
_cell_length_a 5.674
_cell_length_b 5.674
_cell_length_c 15.548
_cell_angle_alpha 90.00
_cell_angle_beta 90.00
_cell_angle_gamma 90.00
_symmetry_space_group_name_H-M 'I 4/m m m'
_symmetry_Int_Tables_number 139
_symmetry_space_group_name_Hall '-I 4 2'
loop_
_atom_site_label
_atom_site_fract_x
_atom_site_fract_y
_atom_site_fract_z
Ac1 0.000 0.000 0.244
Tm1 0.000 0.000 0.500
Tl1 0.000 0.000 0.000
Tl2 0.000 0.500 0.110
# DOS(E_F)	1.103	states/eV/atom
# size of the total moment	0.0	μB/f.u.
# formation enthalpy at 0 K	-1.822	eV/f.u.

=====

No. 3
# Na2ZnPb (GGA-PBE, optimized geometry)
data_Na2ZnPb
_chemical_formula_sum 'Na8 Zn4 Pb4'
_cell_length_a 9.761
_cell_length_b 7.895
_cell_length_c 5.717
_cell_angle_alpha 90.00
_cell_angle_beta 90.00
_cell_angle_gamma 90.00
_symmetry_space_group_name_H-M 'C m c m'
_symmetry_Int_Tables_number 63
_symmetry_space_group_name_Hall '-C 2c 2'
loop_
_atom_site_label
_atom_site_fract_x
_atom_site_fract_y
_atom_site_fract_z
Na1 0.182 0.156 0.250
Zn1 0.000 0.500 0.000
Pb1 0.000 0.201 0.750
# DOS(E_F)	0.357	states/eV/atom
# size of the total moment	0.0	μB/f.u.
# formation enthalpy at 0 K	-0.412	eV/f.u.

=====

No. 4
# Dy2Tm (GGA-PBE, optimized geometry)
data_Dy2Tm
_chemical_formula_sum 'Dy4 Tm2'
_cell_length_a 3.513
_cell_length_b 3.513
_cell_length_c 14.953
_cell_angle_alpha 90.00
_cell_angle_beta 90.00
_cell_angle_gamma 90.00
_symmetry_space_group_name_H-M 'I 4/m m m'
_symmetry_Int_Tables_number 139
_symmetry_space_group_name_Hall '-I 4 2'
loop_
_atom_site_label
_atom_site_fract_x
_atom_site_fract_y
_atom_site_fract_z
Dy1 0.000 0.000 0.166
Tm1 0.000 0.000 0.500
# DOS(E_F)	1.342	states/eV/atom
# size of the total moment	0.0	μB/f.u.
# energy above the lowest structure with this stoichiometry	19	meV per atom
# formation enthalpy at 0 K	0.067	eV/f.u.

=====

No. 5
# Ge2Sb2Pd7 (GGA-PBE, optimized geometry)
data_Ge2Sb2Pd7
_chemical_formula_sum 'Ge4 Sb4 Pd14'
_cell_length_a 9.152
_cell_length_b 7.868
_cell_length_c 5.645
_cell_angle_alpha 90.00
_cell_angle_beta 101.10
_cell_angle_gamma 90.00
_symmetry_space_group_name_H-M 'C 1 2/m 1'
_symmetry_Int_Tables_number 12
loop_
_symmetry_equiv_pos_as_xyz
'x,y,z'
'-x,-y,-z'
'-x,y,-z'
'x,-y,z'
'x+1/2,y+1/2,z'
'-x+1/2,-y+1/2,-z'
'-x+1/2,y+1/2,-z'
'x+1/2,-y+1/2,z'
loop_
_atom_site_label
_atom_site_fract_x
_atom_site_fract_y
_atom_site_fract_z
Ge1 0.230 0.000 0.066
Sb1 0.000 0.303 0.500
Pd1 0.000 0.500 0.000
Pd2 0.009 0.000 0.257
Pd3 0.230 0.291 0.250
# DOS(E_F)	0.342	states/eV/atom
# formation energy (no corrections)	-0.3654	eV per atom
# size of the total moment	0.0	μB/f.u.

=====

No. 6
# LaMoN3 (GGA-PBE, optimized geometry)
data_LaMoN3
_chemical_formula_sum 'La2 Mo2 N6'
_cell_length_a 3.689
_cell_length_b 5.969
_cell_length_c 6.712
_cell_angle_alpha 72.56
_cell_angle_beta 74.38
_cell_angle_gamma 86.98
_symmetry_space_group_name_H-M 'P 1'
_symmetry_Int_Tables_number 1
loop_
_symmetry_equiv_pos_as_xyz
'x,y,z'
loop_
_atom_site_label
_atom_site_fract_x
_atom_site_fract_y
_atom_site_fract_z
La1 0.000 0.000 0.000
La2 0.418 0.702 0.517
Mo1 0.028 0.240 0.454
Mo2 0.387 0.469 0.029
N1 0.055 0.585 0.271
N2 0.375 0.119 0.238
N3 0.566 0.826 0.843
N4 0.835 0.923 0.659
N5 0.853 0.398 0.739
N6 0.977 0.439 0.898
# DOS(E_F)	0.259	states/eV/atom
# formation energy (no corrections)	-0.5580	eV per atom
# size of the total moment	0.0	μB/f.u.

=====

No. 7
# ScOsPb (GGA-PBE, optimized geometry)
data_ScOsPb
_chemical_formula_sum 'Sc4 Os4 Pb4'
_cell_length_a 6.480
_cell_length_b 6.480
_cell_length_c 6.480
_cell_angle_alpha 90.00
_cell_angle_beta 90.00
_cell_angle_gamma 90.00
_symmetry_space_group_name_H-M 'F -4 3 m'
_symmetry_Int_Tables_number 216
_symmetry_space_group_name_Hall 'F -4 2 3'
loop_
_atom_site_label
_atom_site_fract_x
_atom_site_fract_y
_atom_site_fract_z
Sc1 0.000 0.000 0.000
Os1 0.250 0.250 0.250
Pb1 0.000 0.000 0.500
# DOS(E_F)	0.872	states/eV/atom
# size of the total moment	0.0	μB/f.u.
# energy above the lowest structure with this stoichiometry	80	meV per atom
# formation enthalpy at 0 K	0.397	eV/f.u.

=====

No. 8
# KBiP2O (GGA-PBE, optimized geometry)
data_KBiP2O
_chemical_formula_sum 'K1 Bi1 P2 O1'
_cell_length_a 5.362
_cell_length_b 5.362
_cell_length_c 4.189
_cell_angle_alpha 90.00
_cell_angle_beta 90.00
_cell_angle_gamma 90.00
_symmetry_space_group_name_H-M 'P 4/m m m'
_symmetry_Int_Tables_number 123
_symmetry_space_group_name_Hall '-P 4 2'
loop_
_atom_site_label
_atom_site_fract_x
_atom_site_fract_y
_atom_site_fract_z
K1 0.000 0.000 0.000
Bi1 0.500 0.500 0.500
P1 0.000 0.500 0.000
O1 0.000 0.000 0.500
# DOS(E_F)	1.093	states/eV/atom
# formation energy (no corrections)	1.2970	eV per atom
# size of the total moment	0.1	μB/f.u.
# energy above the lowest structure with this stoichiometry	1003	meV per atom